# Rb2AgRuF6

A crystal of Rb2AgRuF6 relaxed with PBEsol (meta-GGA SCAN, Alexandria).

abc: 6.135 6.135 6.135
angles: 60.00 60.00 60.00
Fractional positions:
Rb: 0.250 0.250 0.250
Rb: 0.750 0.750 0.750
Ag: 0.000 0.000 0.000
Ru: 0.500 0.500 0.500
F: 0.269 0.269 0.731
F: 0.269 0.731 0.269
F: 0.269 0.731 0.731
F: 0.731 0.269 0.269
F: 0.731 0.269 0.731
F: 0.731 0.731 0.269

Values from the calculation:
- Calculated total energy: -150.83 eV for the cell shown
- Magnetization: 1.00 μB per formula unit
- Formation energy from raw total energies: -2.19 eV/atom